[1]
# KY2Cl (PBE, relaxed)
# **Total magnetic moment**: 1.25 μB/cell
# **Formation energy from raw total energies**: -0.65 eV/atom
# **Calculated density**: 3.08 Mg/m³
# **Raw total energy**: -4.6141 eV per atom
# **Energy above the most stable polymorph in this dataset**: 0.000 eV/f.u.
data_KY2Cl
_cell_length_a 3.696
_cell_length_b 3.614
_cell_length_c 10.351
_cell_angle_alpha 90.00
_cell_angle_beta 100.19
_cell_angle_gamma 90.00
_symmetry_space_group_name_H-M 'P 1 m 1'
_symmetry_Int_Tables_number 6
loop_
_symmetry_equiv_pos_as_xyz
'x,y,z'
'x,-y,z'
loop_
_atom_site_label
_atom_site_type_symbol
_atom_site_fract_x
_atom_site_fract_y
_atom_site_fract_z
K1 K 0.000 0.000 0.000
Y1 Y 0.320 0.500 0.649
Y2 Y 0.703 0.000 0.414
Cl1 Cl 0.595 0.500 0.192

---

[2]
# In4Ag2Sn (PBE, relaxed)
# **Energy of formation from the pure elements**: 0.0622 eV per atom
# **Total magnetic moment**: 0.00 μB/cell
# **Calculated density**: 7.29 Mg/m³
# **Raw total energy**: -2.8891 eV per atom
data_In4Ag2Sn
_cell_length_a 11.458
_cell_length_b 9.099
_cell_length_c 7.230
_cell_angle_alpha 90.00
_cell_angle_beta 106.37
_cell_angle_gamma 90.00
_symmetry_space_group_name_H-M 'C 1 m 1'
_symmetry_Int_Tables_number 8
loop_
_symmetry_equiv_pos_as_xyz
'x,y,z'
'x,-y,z'
'x+1/2,y+1/2,z'
'x+1/2,-y+1/2,z'
loop_
_atom_site_label
_atom_site_type_symbol
_atom_site_fract_x
_atom_site_fract_y
_atom_site_fract_z
In1 In 0.000 0.000 0.000
In2 In 0.000 0.500 0.018
In3 In 0.008 0.000 0.518
In4 In 0.180 0.253 0.865
In5 In 0.181 0.209 0.348
In6 In 0.459 0.000 0.475
Ag1 Ag 0.272 0.000 0.700
Ag2 Ag 0.276 0.000 0.112
Ag3 Ag 0.419 0.254 0.718
Sn1 Sn 0.243 0.500 0.597
Sn2 Sn 0.280 0.500 0.164